Entry 1:
BeCuPb | PBE | optimized geometry

Geometry as POSCAR:
```
BeCuPb
1.0
4.0241 0.0000 0.0000
-2.0121 3.4850 0.0000
0.0000 0.0000 3.6695
Cu Be Pb
1 1 1
direct
0.6667 0.3333 0.1665
0.0000 0.0000 0.1666
0.3333 0.6667 0.6668
```

Properties
Its density of states at the Fermi level is 1.1 states/eV/cell. As for the volume: 51.5 Å³ per cell. As for the formation energy: 0.41 eV per atom. The space-group type is No. 187. As for the spin magnetization: 0.00 μB/cell.



Entry 2:
InCoW2 | PBE | optimized geometry

Geometry as POSCAR:
```
InCoW2
1.0
4.3729 0.0000 0.0000
0.0000 3.8013 0.0000
0.0000 0.0000 3.8013
Co W In
1 2 1
direct
0.5000 0.5000 0.0000
0.0000 0.0000 0.0000
0.0000 0.5000 0.5000
0.5000 0.0000 0.5000
```

Properties
Its density of states at the Fermi level is 4.0 states/eV/cell. As for the volume: 63.2 Å³ per cell. As for the formation energy: 0.44 eV per atom. The space-group type is No. 123. As for the spin magnetization: 1.01 μB/cell.



Number 1: total DFT energy (no corrections) -3.430 eV per atom. Number 2: total DFT energy (no corrections) -8.498 eV per atom.